Entry 1:
{"formula": "LiTl2Mo", "functional": "PBE-GGA", "state": "optimized geometry", "lattice_angstrom": [[-4.481, -0.105, -3.953], [0.942, -0.305, -5.894], [0.639, -2.396, 5.437]], "species": ["Mo", "Tl", "Tl", "Li"], "frac_coords": [[0.256, 0.756, 0.500], [0.011, 0.011, 0.000], [0.745, 0.245, 0.500], [0.489, 0.489, 0.000]], "de_polymorph_mev_per_atom": 99, "e_form_ev_per_atom": 0.451, "crystal_system": "orthorhombic", "dos_ef_per_ev_cell": 2.293}

Entry 2:
{"formula": "LiTl2Mo", "functional": "PBE-GGA", "state": "optimized geometry", "lattice_angstrom": [[-2.848, -0.910, 0.044], [1.168, -2.679, -0.634], [0.711, -1.795, 8.893]], "species": ["Li", "Tl", "Tl", "Mo"], "frac_coords": [[0.500, 0.500, 0.250], [0.000, 0.000, 0.002], [0.000, 0.000, 0.498], [0.500, 0.500, 0.750]], "de_polymorph_mev_per_atom": 0, "e_form_ev_per_atom": 0.351, "crystal_system": "orthorhombic", "dos_ef_per_ev_cell": 1.405}

Entry 3:
{"formula": "LiTl2Mo", "functional": "PBE-GGA", "state": "optimized geometry", "lattice_angstrom": [[5.038, 0.000, 0.000], [2.519, 4.363, 0.000], [2.519, 1.454, 4.113]], "species": ["Tl", "Mo", "Tl", "Li"], "frac_coords": [[0.250, 0.250, 0.250], [0.750, 0.750, 0.750], [0.000, 0.000, 0.000], [0.500, 0.500, 0.500]], "de_polymorph_mev_per_atom": 383, "e_form_ev_per_atom": 0.734, "crystal_system": "cubic", "dos_ef_per_ev_cell": 2.187}

Entry 4:
{"formula": "LiTl2Mo", "functional": "PBE-GGA", "state": "optimized geometry", "lattice_angstrom": [[-0.139, -4.377, 0.975], [3.553, -0.703, -2.648], [7.524, -1.072, 6.578]], "species": ["Li", "Mo", "Tl", "Li", "Tl", "Tl", "Tl", "Mo"], "frac_coords": [[0.250, 0.750, 0.500], [0.000, 0.000, 0.000], [0.375, 0.371, 0.750], [0.500, 0.500, 0.000], [0.121, 0.625, 0.250], [0.875, 0.879, 0.750], [0.629, 0.125, 0.250], [0.750, 0.250, 0.500]], "de_polymorph_mev_per_atom": 492, "e_form_ev_per_atom": 0.843, "crystal_system": "tetragonal", "dos_ef_per_ev_cell": 6.256}

Entry 5:
{"formula": "LiTl2Mo", "functional": "PBE-GGA", "state": "optimized geometry", "lattice_angstrom": [[-2.980, -1.104, -2.055], [2.330, -1.256, -2.704], [0.164, -5.232, 2.572]], "species": ["Tl", "Li", "Mo", "Tl"], "frac_coords": [[0.500, 0.500, 0.291], [0.000, 0.000, 0.495], [0.500, 0.500, 0.779], [0.000, 0.000, 0.935]], "de_polymorph_mev_per_atom": 180, "e_form_ev_per_atom": 0.531, "crystal_system": "tetragonal", "dos_ef_per_ev_cell": 2.972}

Entry 6:
{"formula": "LiTl2Mo", "functional": "PBE-GGA", "state": "optimized geometry", "lattice_angstrom": [[-6.593, 6.886, -1.816], [-8.488, 4.657, -0.673], [-6.994, 6.604, 1.286]], "species": ["Tl", "Li", "Mo", "Tl"], "frac_coords": [[0.501, 0.501, 0.501], [0.250, 0.250, 0.250], [0.750, 0.750, 0.750], [0.999, 0.999, 0.999]], "de_polymorph_mev_per_atom": 24, "e_form_ev_per_atom": 0.375, "crystal_system": "trigonal", "dos_ef_per_ev_cell": 1.710}